(1)
## Y2AlTlF (GGA-PBE)

Data for a geometry-optimized Y2AlTlF structure.

Unit cell a=5.8371 b=5.8371 c=3.8406 alpha=90.00 beta=90.00 gamma=90.00
Element x y z (fractional)
Y  0.0000  0.5000  0.0000
Y  0.5000  0.0000  0.0000
Al  0.0000  0.0000  0.0000
Tl  0.5000  0.5000  0.5000
F  0.0000  0.0000  0.5000

## Properties
raw formation energy	-0.52	eV per atom

=====

(2)
## Ti4Si2B (GGA-PBE)

Data for a geometry-optimized Ti4Si2B structure.

Unit cell a=7.2905 b=7.2905 c=7.2905 alpha=147.67 beta=147.67 gamma=46.38
Element x y z (fractional)
Ti  0.0000  0.5000  0.5000
Ti  0.1651  0.1651  0.0000
Ti  0.5000  0.0000  0.5000
Ti  0.8349  0.8349  0.0000
Si  0.3612  0.3612  0.0000
Si  0.6388  0.6388  0.0000
B  0.0000  0.0000  0.0000

## Properties
raw formation energy	-0.43	eV per atom

=====

(3)
## NiBiCl3 (GGA-PBE)

Data for a geometry-optimized NiBiCl3 structure.

Unit cell a=5.4775 b=5.4775 c=5.4775 alpha=90.00 beta=90.00 gamma=90.00
Element x y z (fractional)
Ni  0.0000  0.0000  0.0000
Bi  0.5000  0.5000  0.5000
Cl  0.0000  0.5000  0.5000
Cl  0.5000  0.0000  0.5000
Cl  0.5000  0.5000  0.0000

## Properties
raw formation energy	0.19	eV per atom
offset from the most stable computed form	0.430	eV per atom

=====

(4)
## Rb2AlBS (GGA-PBE)

Data for a geometry-optimized Rb2AlBS structure.

Unit cell a=6.3724 b=6.3724 c=3.9890 alpha=90.00 beta=90.00 gamma=90.00
Element x y z (fractional)
Rb  0.0000  0.5000  0.0000
Rb  0.5000  0.0000  0.0000
Al  0.0000  0.0000  0.5000
B  0.0000  0.0000  0.0000
S  0.5000  0.5000  0.5000

## Properties
raw formation energy	0.33	eV per atom

=====

(5)
## K3Cd2Br8 (GGA-PBE)

Data for a geometry-optimized K3Cd2Br8 structure.

Unit cell a=10.5327 b=10.5327 c=10.5327 alpha=43.22 beta=43.22 gamma=43.22
Element x y z (fractional)
K  0.0000  0.0000  0.0000
K  0.2002  0.2002  0.2002
K  0.7998  0.7998  0.7998
Cd  0.4016  0.4016  0.4016
Cd  0.5984  0.5984  0.5984
Br  0.2024  0.7450  0.7450
Br  0.2550  0.2550  0.7976
Br  0.2550  0.7976  0.2550
Br  0.3113  0.3113  0.3113
Br  0.6887  0.6887  0.6887
Br  0.7450  0.2024  0.7450
Br  0.7450  0.7450  0.2024
Br  0.7976  0.2550  0.2550

## Properties
raw formation energy	-1.11	eV per atom

=====

(6)
## Si2BiHW (GGA-PBE)

Data for a geometry-optimized Si2BiHW structure.

Unit cell a=5.3001 b=5.3001 c=3.3765 alpha=90.00 beta=90.00 gamma=90.00
Element x y z (fractional)
Si  0.0000  0.5000  0.0000
Si  0.5000  0.0000  0.0000
Bi  0.0000  0.0000  0.0000
H  0.0000  0.0000  0.5000
W  0.5000  0.5000  0.5000

## Properties
E_tot	-4.606	eV/atom

=====

(7)
## PmH2Rh3 (GGA-PBE)

Data for a geometry-optimized PmH2Rh3 structure.

Unit cell a=5.4082 b=5.4082 c=2.9440 alpha=90.00 beta=90.00 gamma=120.00
Element x y z (fractional)
Pm  0.0000  0.0000  0.0000
H  0.3333  0.6667  0.0000
H  0.6667  0.3333  0.0000
Rh  0.0000  0.5000  0.5000
Rh  0.5000  0.0000  0.5000
Rh  0.5000  0.5000  0.5000

## Properties
E_tot	-5.738	eV/atom

=====

(8)
## LiTmGaNi (GGA-PBE)

Data for a geometry-optimized LiTmGaNi structure.

Unit cell a=4.4847 b=4.4847 c=4.4847 alpha=60.00 beta=60.00 gamma=60.00
Element x y z (fractional)
Li  0.0000  0.0000  0.0000
Tm  0.2500  0.2500  0.2500
Ga  0.7500  0.7500  0.7500
Ni  0.5000  0.5000  0.5000

## Properties
formation enthalpy at 0 K	-412	meV/atom

=====

no.,calculated volume (A^3/atom)
1,26.2
2,15.8
3,32.9
4,32.4
5,38.2
6,19.0
7,12.4
8,15.9